(1)
The following is a PBE with a Hubbard U calculation of a relaxed Na2CoNiO4 crystal, from the Alexandria database.

abc: 5.381 6.770 8.371
angles: 82.66 71.25 66.58
Last column: magnetic moment on the atom in μB.
Sites, in units of the cell vectors:
Ni (0.000, 0.000, 0.000)  0.08
Ni (0.750, 0.500, 0.500)  0.08
O (0.160, 0.197, 0.000)  0.14
O (0.643, 0.197, 0.000)  0.14
O (0.393, 0.697, 0.500)  0.14
O (0.841, 0.803, 0.000)  0.14
O (0.357, 0.803, 0.000)  0.14
O (0.590, 0.303, 0.500)  0.14
O (0.909, 0.697, 0.500)  0.14
O (0.107, 0.303, 0.500)  0.14
Na (0.824, 0.000, 0.351)  0.00
Na (0.574, 0.500, 0.851)  0.00
Na (0.176, 0.000, 0.649)  0.00
Na (0.926, 0.500, 0.149)  0.00
Co (0.250, 0.500, 0.500)  2.20
Co (0.500, 0.000, 0.000)  2.20

Properties
Raw total energy, eV for the cell shown: -75.8
Total magnetization, μB per atom: 0.38

=====

(2)
The following is a PBE with a Hubbard U calculation of a relaxed Na2CoNi2O6 crystal, from the Alexandria database.

abc: 4.969 4.969 5.744
angles: 99.80 99.80 117.16
Last column: magnetic moment on the atom in μB.
Sites, in units of the cell vectors:
Co (0.000, 0.000, 0.500)  1.15
Na (0.173, 0.827, 0.000)  0.00
Na (0.827, 0.173, 0.000)  0.00
Ni (0.667, 0.333, 0.500)  1.08
Ni (0.333, 0.667, 0.500)  1.08
O (0.261, 0.261, 0.324)  -0.10
O (0.957, 0.624, 0.311)  -0.02
O (0.376, 0.043, 0.689)  -0.02
O (0.739, 0.739, 0.676)  -0.10
O (0.624, 0.957, 0.311)  -0.02
O (0.043, 0.376, 0.689)  -0.02

Properties
Raw total energy, eV for the cell shown: -54.1
Total magnetization, μB per atom: 0.27

=====

(3)
The following is a PBE with a Hubbard U calculation of a relaxed NaCo3Ni2O6 crystal, from the Alexandria database.

abc: 2.845 5.769 8.019
angles: 106.70 100.22 90.00
Last column: magnetic moment on the atom in μB.
Sites, in units of the cell vectors:
O (0.966, 0.269, 0.932)  0.00
O (0.308, 0.890, 0.615)  0.09
O (0.643, 0.513, 0.287)  0.12
O (0.692, 0.110, 0.385)  0.09
O (0.357, 0.487, 0.713)  0.12
O (0.034, 0.731, 0.068)  0.00
Co (0.831, 0.189, 0.662)  2.68
Co (0.500, 0.500, 0.000)  1.95
Co (0.169, 0.811, 0.338)  2.68
Na (0.500, 0.000, 0.000)  0.00
Ni (0.830, 0.684, 0.660)  0.07
Ni (0.170, 0.316, 0.340)  0.07

Properties
Raw total energy, eV for the cell shown: -62.8
Total magnetization, μB per atom: 0.67

=====

(4)
The following is a PBE with a Hubbard U calculation of a relaxed Na3CoNi2O6 crystal, from the Alexandria database.

abc: 5.087 5.087 5.589
angles: 99.89 99.89 118.11
Last column: magnetic moment on the atom in μB.
Sites, in units of the cell vectors:
O (0.051, 0.384, 0.199)  -0.01
O (0.736, 0.736, 0.183)  -0.13
O (0.264, 0.264, 0.817)  -0.13
O (0.616, 0.949, 0.801)  -0.01
O (0.384, 0.051, 0.199)  -0.01
O (0.949, 0.616, 0.801)  -0.01
Ni (0.331, 0.669, 0.000)  1.24
Ni (0.669, 0.331, 0.000)  1.24
Na (0.500, 0.500, 0.500)  0.00
Na (0.168, 0.832, 0.500)  0.00
Na (0.832, 0.168, 0.500)  0.00
Co (0.000, 0.000, 0.000)  -0.09

Properties
Raw total energy, eV for the cell shown: -57.8
Total magnetization, μB per atom: 0.17

=====

(5)
The following is a PBE with a Hubbard U calculation of a relaxed NaCoNi2O4 crystal, from the Alexandria database.

abc: 4.872 4.872 4.872
angles: 97.50 115.77 115.77
Last column: magnetic moment on the atom in μB.
Sites, in units of the cell vectors:
Ni (0.500, 0.750, 0.250)  0.07
Ni (0.500, 0.250, 0.750)  0.07
Na (0.000, 0.000, 0.000)  0.00
Co (0.000, 0.500, 0.500)  2.93
O (0.000, 0.506, 0.113)  0.19
O (0.000, 0.113, 0.506)  0.19
O (0.608, 0.494, 0.494)  0.19
O (0.392, 0.887, 0.887)  0.19

Properties
Raw total energy, eV for the cell shown: -38.4
Total magnetization, μB per atom: 0.50

=====

(6)
The following is a PBE with a Hubbard U calculation of a relaxed Na2Co2NiO4 crystal, from the Alexandria database.

abc: 3.001 7.177 6.550
angles: 120.86 90.00 102.07
Last column: magnetic moment on the atom in μB.
Sites, in units of the cell vectors:
Co (0.333, 0.666, 0.011)  2.61
Co (0.667, 0.334, 0.989)  2.61
O (0.498, 0.996, 0.193)  0.04
O (0.744, 0.488, 0.792)  0.17
O (0.502, 0.004, 0.807)  0.04
O (0.256, 0.512, 0.208)  0.17
Na (0.130, 0.261, 0.495)  0.01
Na (0.870, 0.739, 0.505)  0.01
Ni (0.000, 0.000, 0.000)  0.05

Properties
Raw total energy, eV for the cell shown: -44.6
Total magnetization, μB per atom: 0.66

=====

Question: Among the records above, which one has the highest raw total energy?
Answer: NaCoNi2O4

=====

Question: The highest total magnetization belongs to which entry?
Answer: NaCo3Ni2O6